Density functional theory data (PBE) for Y6Ho2Zn after structural relaxation.

The space group is Pnnm (No. 58) and the conventional cell measures 10.0404, 10.1038 and 5.3527 Å, with angles of 90.00, 90.00 and 90.00 degrees. The asymmetric unit holds Y at (0.0389, 0.1862, 0.0000), Y at (0.1229, 0.6187, 0.5000), Y at (0.1859, 0.9533, 0.5000), Ho at (0.2134, 0.2787, 0.5000) and Zn at (0.0000, 0.5000, 0.0000).

Its total energy is -0.4009 Ry/atom. Its density of states at the Fermi level is 1.730 states/eV/atom. The value obtained for the magnetic moment is 0.00 μB per atom. The calculation puts the formation enthalpy at 0 K at 0.01 eV/atom.



Density functional theory data (PBE) for FeCo after structural relaxation.

The space group is P4mm (No. 99) and the conventional cell measures 2.8387, 2.8387 and 11.4279 Å, with angles of 90.00, 90.00 and 90.00 degrees. The asymmetric unit holds Fe at (0.0000, 0.0000, 0.0000), Fe at (0.0000, 0.0000, 0.2497), Fe at (0.0000, 0.0000, 0.7494), Fe at (0.5000, 0.5000, 0.3799), Co at (0.0000, 0.0000, 0.5002), Co at (0.5000, 0.5000, 0.1252), Co at (0.5000, 0.5000, 0.6295) and Co at (0.5000, 0.5000, 0.8761).

Its total energy is -0.5744 Ry/atom. Its density of states at the Fermi level is 0.720 states/eV/atom. The value obtained for the magnetic moment is 2.26 μB per atom. The calculation puts the formation enthalpy at 0 K at -0.03 eV/atom.



Density functional theory data (PBE) for Ca6AsP2S after structural relaxation.

The space group is P2_1/c (No. 14) and the conventional cell measures 6.9681, 7.6165 and 12.4192 Å, with angles of 90.00, 122.74 and 90.00 degrees. The asymmetric unit holds Ca at (0.0895, 0.0741, 0.2514), Ca at (0.2726, 0.6889, 0.0860), Ca at (0.4034, 0.1876, 0.0809), As at (0.0000, 0.0000, 0.0000), P at (0.2954, 0.0916, 0.7521) and S at (0.5000, 0.0000, 0.5000).

Its total energy is -0.3191 Ry/atom. Its density of states at the Fermi level is 0.244 states/eV/atom. The value obtained for the magnetic moment is 0.10 μB per atom. The value obtained for the uncorrected formation energy is -1.181 eV/atom.



Density functional theory data (PBE) for KCuMo2 after structural relaxation.

The space group is F-43m (No. 216) and the conventional cell measures 6.5682, 6.5682 and 6.5682 Å, with angles of 90.00, 90.00 and 90.00 degrees. The asymmetric unit holds K at (0.0000, 0.0000, 0.0000), Cu at (0.2500, 0.2500, 0.7500), Mo at (0.0000, 0.0000, 0.5000) and Mo at (0.2500, 0.2500, 0.2500).

Its total energy is -0.3927 Ry/atom. Its density of states at the Fermi level is 0.475 states/eV/atom. The value obtained for the magnetic moment is 0.00 μB per atom. The calculation puts the formation enthalpy at 0 K at 1.37 eV/atom.